(1)
Li2NbAlIr: optimized geometry, PBE.

Unit cell a=4.177 b=4.177 c=4.951 alpha=90.00 beta=90.00 gamma=90.00
Space group P4/mmm (No. 123)
Symmetry-distinct sites (fractional):
Li (0.000, 0.500, 0.000)
Nb (0.000, 0.000, 0.500)
Al (0.000, 0.000, 0.000)
Ir (0.500, 0.500, 0.500)

Calculated values
Crystal system ... tetragonal

=====

(2)
TaBe2Mo2Ru5: optimized geometry, PBE.

Unit cell a=9.425 b=9.425 c=3.050 alpha=90.00 beta=90.00 gamma=90.00
Space group P4/mbm (No. 127)
Symmetry-distinct sites (fractional):
Ta (0.000, 0.000, 0.000)
Be (0.121, 0.379, 0.000)
Mo (0.175, 0.675, 0.000)
Ru (0.000, 0.500, 0.500)
Ru (0.072, 0.213, 0.500)

Calculated values
Crystal system ... tetragonal

=====

no.,size of the total moment (μB/atom),uncorrected energy (eV per atom)
1,0.00,-4.36
2,0.00,-8.93